Entry 1:
Compound: NiSbSe2
Source: Alexandria
Functional: PBE
Structure: optimized geometry

Cell and atoms, written as POSCAR:
```
NiSbSe2
1.0
3.489 -0.071 0.000
-1.756 3.016 0.000
0.000 0.000 8.333
Se Sb Ni
2 1 1
Direct
0.000 0.000 0.059
0.000 0.000 0.441
0.500 0.500 0.750
0.500 0.500 0.250
```

Values from the calculation:
**Theoretical density**: 6483 kg/m3
**Fermi-level density of states**: 4.2 states/eV per cell
**Space group**: Cmmm (65)
**Raw formation energy**: 0.173 eV per atom

***

Entry 2:
Compound: Ho4GaCo
Source: Alexandria
Functional: PBE
Structure: optimized geometry

Cell and atoms, written as POSCAR:
```
Ho4GaCo
1.0
5.920 -0.155 0.000
-1.707 7.738 0.000
-2.107 -3.791 6.564
Ho Ga Co
8 2 2
Direct
0.213 0.294 0.354
0.964 0.782 0.132
0.332 0.651 0.868
0.668 0.349 0.132
0.359 0.940 0.646
0.641 0.060 0.354
0.036 0.218 0.868
0.787 0.706 0.646
0.620 0.370 0.741
0.380 0.630 0.259
0.250 0.000 0.000
0.750 0.000 0.000
```

Values from the calculation:
**Theoretical density**: 8757 kg/m3
**Fermi-level density of states**: 11.8 states/eV per cell
**Space group**: C2/c (15)
**Energy relative to the elements**: -0.285 eV/atom

***

Entry 3:
Compound: Pa2PdC
Source: Alexandria
Functional: PBE
Structure: optimized geometry

Cell and atoms, written as POSCAR:
```
Pa2PdC
1.0
-0.937 1.870 -2.558
1.298 -0.524 -2.993
-5.670 -4.664 -3.466
Pd Pa C
1 2 1
Direct
0.664 0.664 0.007
0.233 0.233 0.301
0.100 0.100 0.701
0.503 0.503 0.492
```

Values from the calculation:
**Theoretical density**: 12918 kg/m3
**Fermi-level density of states**: 5.6 states/eV per cell
**Space group**: R3m (160)
**Energy relative to the elements**: -0.159 eV/atom

***

Entry 4:
Compound: LiAcHo2
Source: Alexandria
Functional: PBE
Structure: optimized geometry

Cell and atoms, written as POSCAR:
```
LiAcHo2
1.0
-1.354 4.496 2.769
-1.852 -2.754 3.566
4.340 -0.055 2.211
Ho Li Ac
2 1 1
Direct
0.000 0.500 0.000
0.000 0.000 0.500
0.500 0.000 0.000
0.500 0.500 0.500
```

Values from the calculation:
**Theoretical density**: 7238 kg/m3
**Fermi-level density of states**: 6.2 states/eV per cell
**Space group**: P4/mmm (123)
**Energy relative to the elements**: 0.197 eV/atom

***

Entry 5:
Compound: Ca3Sc3MnSe8
Source: Alexandria
Functional: PBE
Structure: optimized geometry

Cell and atoms, written as POSCAR:
```
Ca3Sc3MnSe8
1.0
7.907 0.000 0.000
-3.954 6.847 -0.024
0.000 -4.541 6.720
Mn Sc Se Ca
1 3 8 3
Direct
0.000 0.000 0.500
0.000 0.500 0.500
0.500 0.500 0.500
0.500 0.000 0.500
0.757 0.513 0.274
0.740 0.983 0.727
0.244 0.983 0.727
0.243 0.487 0.726
0.260 0.017 0.273
0.743 0.487 0.731
0.756 0.017 0.273
0.257 0.513 0.269
0.500 0.500 0.000
0.000 0.500 0.000
0.000 0.000 0.000
```

Values from the calculation:
**Theoretical density**: 4308 kg/m3
**Fermi-level density of states**: 4.0 states/eV per cell
**Space group**: R-3m (166)
**Raw formation energy**: -1.619 eV per atom

***

Entry 6:
Compound: NiPdW
Source: Alexandria
Functional: PBE
Structure: optimized geometry

Cell and atoms, written as POSCAR:
```
NiPdW
1.0
-1.815 -1.955 -0.627
0.019 -0.853 2.604
-3.318 4.936 0.199
W Pd Ni
1 1 1
Direct
0.675 0.675 0.350
0.996 0.996 0.993
0.328 0.328 0.657
```

Values from the calculation:
**Theoretical density**: 13718 kg/m3
**Fermi-level density of states**: 3.3 states/eV per cell
**Space group**: I4mm (107)
**Energy relative to the elements**: -0.002 eV/atom

***

Entry 7:
Compound: TaCu4Ni12
Source: Alexandria
Functional: PBE
Structure: optimized geometry

Cell and atoms, written as POSCAR:
```
TaCu4Ni12
1.0
-4.160 -3.496 3.502
-2.884 1.968 -5.440
5.147 -3.621 -1.478
Ni Cu Ta
12 4 1
Direct
0.690 0.690 0.000
0.310 0.000 0.310
0.690 0.000 0.690
0.750 0.500 0.250
0.250 0.750 0.500
0.000 0.310 0.310
0.500 0.250 0.750
0.250 0.500 0.750
0.310 0.310 0.000
0.750 0.250 0.500
0.500 0.750 0.250
0.000 0.690 0.690
0.000 0.000 0.500
0.500 0.500 0.500
0.000 0.500 0.000
0.500 0.000 0.000
0.000 0.000 0.000
```

Values from the calculation:
**Theoretical density**: 9099 kg/m3
**Fermi-level density of states**: 23.9 states/eV per cell
**Space group**: Im-3m (229)
**Energy relative to the elements**: 0.209 eV/atom

***

Entry 8:
Compound: Th6Ge2BiP3
Source: Alexandria
Functional: PBE
Structure: optimized geometry

Cell and atoms, written as POSCAR:
```
Th6Ge2BiP3
1.0
-1.475 -3.777 -1.294
8.058 -2.811 -0.978
-1.272 -0.347 9.465
P Th Bi Ge
3 6 1 2
Direct
0.500 0.500 0.000
0.164 0.833 0.328
0.836 0.167 0.672
0.676 0.084 0.351
0.665 0.586 0.331
0.324 0.916 0.649
0.999 0.275 0.997
0.001 0.725 0.003
0.335 0.414 0.669
0.500 0.000 0.000
0.833 0.668 0.667
0.167 0.332 0.333
```

Values from the calculation:
**Theoretical density**: 9217 kg/m3
**Fermi-level density of states**: 6.4 states/eV per cell
**Space group**: C2/m (12)
**Energy relative to the elements**: -1.107 eV/atom

***

Entry 9:
Compound: ErTmAsO2
Source: Alexandria
Functional: PBE
Structure: optimized geometry

Cell and atoms, written as POSCAR:
```
ErTmAsO2
1.0
-0.485 3.494 1.265
-2.023 0.822 -3.046
-4.023 -3.981 3.903
Er As Tm O
1 1 1 2
Direct
0.839 0.839 0.678
0.500 0.500 0.001
0.162 0.162 0.323
0.749 0.249 0.499
0.249 0.749 0.499
```

Values from the calculation:
**Theoretical density**: 8259 kg/m3
**Fermi-level density of states**: 1.9 states/eV per cell
**Space group**: I4mm (107)
**Raw formation energy**: -2.724 eV per atom

***

Entry 10:
Compound: Ac5Th3Sb8
Source: Alexandria
Functional: PBE
Structure: optimized geometry

Cell and atoms, written as POSCAR:
```
Ac5Th3Sb8
1.0
-1.521 5.320 7.535
2.863 -2.890 8.417
7.184 4.289 4.221
Ac Sb Th
5 8 3
Direct
0.500 0.500 0.000
0.000 0.500 0.000
0.500 0.000 0.000
0.000 0.000 0.000
0.500 0.500 0.500
0.763 0.250 0.737
0.250 0.250 0.737
0.750 0.750 0.263
0.244 0.244 0.268
0.237 0.750 0.263
0.756 0.756 0.732
0.750 0.237 0.263
0.250 0.763 0.737
0.000 0.500 0.500
0.500 0.000 0.500
0.000 0.000 0.500
```

Values from the calculation:
**Theoretical density**: 8034 kg/m3
**Fermi-level density of states**: 6.5 states/eV per cell
**Space group**: R-3m (166)
**Raw formation energy**: -1.099 eV per atom